Computed, not measured: a relaxed structure of KV3F at the PBE+U level of DFT.

CIF file:
```
data_KV3F
_chemical_formula_sum 'K1 V3 F1'
_symmetry_space_group_name_H-M 'P m -3 m'
_symmetry_Int_Tables_number 221
_symmetry_space_group_name_Hall '-P 4 2 3'
_cell_length_a 4.902
_cell_length_b 4.902
_cell_length_c 4.902
_cell_angle_alpha 90.00
_cell_angle_beta 90.00
_cell_angle_gamma 90.00
loop_
_atom_site_label
_atom_site_fract_x
_atom_site_fract_y
_atom_site_fract_z
_atom_site_occupancy
K1 0.000 0.000 0.000 1
V1 0.000 0.500 0.500 1
F1 0.500 0.500 0.500 1
```

Calculated values
density of states at the Fermi level = 4.0 states/eV/cell
V = 23.6 Å³/atom
DFT total energy = -4.26 eV per atom
crystal system = cubic
magnetization = 11.67 μB per cell